1.
Material: Li2Pm3Ni7
Method: DFT, PBE-GGA
State: relaxed

The structure in POSCAR format:
```
Li2Pm3Ni7
1.0
4.878 0.000 1.527
2.200 4.353 1.527
-0.040 -0.024 8.682
Ni Li Pm
7 2 3
Direct
0.082 0.583 0.751
0.583 0.583 0.751
0.417 0.918 0.249
0.918 0.417 0.249
0.583 0.082 0.751
0.500 0.500 0.500
0.417 0.417 0.249
0.334 0.334 0.998
0.666 0.666 0.002
0.000 0.000 0.000
0.139 0.139 0.584
0.861 0.861 0.416
```

Output
ΔH_f (0 K) in meV per atom: -260.7
Magnetization in μB/f.u.: 0.000

=====

2.
Material: LiPmNi
Method: DFT, PBE-GGA
State: relaxed

The structure in POSCAR format:
```
LiPmNi
1.0
-3.525 -1.027 -1.517
1.091 -3.650 -0.065
-3.669 0.749 8.019
Pm Ni Li
2 2 2
Direct
0.750 0.092 0.184
0.250 0.908 0.816
0.250 0.541 0.081
0.750 0.459 0.919
0.250 0.707 0.414
0.750 0.293 0.586
```

Output
ΔH_f (0 K) in meV per atom: -196.8
Magnetization in μB/f.u.: 0.000
ΔE to the lowest computed polymorph in meV/atom: 0

=====

3.
Material: LiPm12Ni6
Method: DFT, PBE-GGA
State: relaxed

The structure in POSCAR format:
```
LiPm12Ni6
1.0
-7.713 3.501 -2.018
2.547 -5.173 -6.524
-0.872 -4.784 7.222
Ni Pm Li
6 12 1
Direct
0.212 0.633 0.280
0.367 0.720 0.788
0.280 0.212 0.633
0.788 0.367 0.720
0.720 0.788 0.367
0.633 0.280 0.212
0.842 0.329 0.028
0.452 0.154 0.401
0.599 0.548 0.846
0.158 0.671 0.972
0.154 0.401 0.452
0.846 0.599 0.548
0.972 0.158 0.671
0.401 0.452 0.154
0.028 0.842 0.329
0.671 0.972 0.158
0.329 0.028 0.842
0.548 0.846 0.599
0.000 0.000 0.000
```

Output
ΔH_f (0 K) in meV per atom: -95.2
Magnetization in μB/f.u.: 0.000
ΔE to the lowest computed polymorph in meV/atom: 116

=====

4.
Material: LiPm3Ni2
Method: DFT, PBE-GGA
State: relaxed

The structure in POSCAR format:
```
LiPm3Ni2
1.0
-2.358 1.371 2.215
-2.059 -2.811 -0.452
5.126 -5.143 8.639
Pm Ni Li
3 2 1
Direct
0.000 0.000 0.000
0.000 0.000 0.703
0.000 0.000 0.297
0.500 0.500 0.161
0.500 0.500 0.839
0.500 0.500 0.500
```

Output
ΔH_f (0 K) in meV per atom: -149.2
Magnetization in μB/f.u.: 0.000

=====

5.
Material: LiPm2Ni
Method: DFT, PBE-GGA
State: relaxed

The structure in POSCAR format:
```
LiPm2Ni
1.0
-2.128 1.027 -4.468
-5.018 0.484 -0.357
-2.047 4.544 -0.839
Pm Li Ni
2 1 1
Direct
0.750 0.750 0.750
0.250 0.250 0.250
0.000 0.000 0.000
0.500 0.500 0.500
```

Output
ΔH_f (0 K) in meV per atom: -58.8
Magnetization in μB/f.u.: 0.000
ΔE to the lowest computed polymorph in meV/atom: 32

=====

6.
Material: LiPm6Ni2
Method: DFT, PBE-GGA
State: relaxed

The structure in POSCAR format:
```
LiPm6Ni2
1.0
-7.952 2.619 2.003
0.501 -3.539 -7.831
2.472 -6.097 5.552
Pm Ni Li
12 4 2
Direct
0.199 0.227 0.425
0.310 0.631 0.321
0.199 0.773 0.972
0.527 0.707 0.820
0.310 0.988 0.679
0.801 0.773 0.575
0.690 0.369 0.679
0.112 0.293 0.820
0.801 0.227 0.028
0.690 0.012 0.321
0.473 0.293 0.180
0.888 0.707 0.180
0.652 0.000 0.652
0.500 0.622 0.122
0.500 0.378 0.878
0.348 0.000 0.348
0.000 0.500 0.500
0.000 0.000 0.000
```

Output
ΔH_f (0 K) in meV per atom: -139.6
Magnetization in μB/f.u.: 0.000

=====

7.
Material: LiPm3Ni
Method: DFT, PBE-GGA
State: relaxed

The structure in POSCAR format:
```
LiPm3Ni
1.0
-3.087 -2.629 -5.221
8.602 -5.329 -2.403
-7.489 -2.903 5.889
Pm Ni Li
12 4 4
Direct
0.498 0.404 0.695
0.501 0.207 0.892
0.002 0.904 0.695
0.002 0.683 0.230
0.998 0.096 0.305
0.502 0.596 0.305
0.001 0.293 0.108
0.998 0.317 0.770
0.498 0.183 0.230
0.999 0.707 0.892
0.499 0.793 0.108
0.502 0.817 0.770
0.198 0.000 0.000
0.698 0.500 0.000
0.302 0.500 0.000
0.802 0.000 0.000
0.802 0.499 0.500
0.302 0.001 0.500
0.698 0.999 0.500
0.198 0.501 0.500
```

Output
ΔH_f (0 K) in meV per atom: -77.5
Magnetization in μB/f.u.: 0.000
ΔE to the lowest computed polymorph in meV/atom: 0

=====

8.
Material: LiPm2Ni
Method: DFT, PBE-GGA
State: relaxed

The structure in POSCAR format:
```
LiPm2Ni
1.0
-1.331 2.169 2.818
-3.212 -0.963 1.782
3.805 -4.998 8.202
Li Pm Ni
1 2 1
Direct
0.000 0.000 0.000
0.887 0.887 0.338
0.113 0.113 0.662
0.500 0.500 0.500
```

Output
ΔH_f (0 K) in meV per atom: 81.5
Magnetization in μB/f.u.: 0.000
ΔE to the lowest computed polymorph in meV/atom: 172

=====

9.
Material: LiPmNi
Method: DFT, PBE-GGA
State: relaxed

The structure in POSCAR format:
```
LiPmNi
1.0
3.731 0.000 0.000
0.000 4.262 0.000
0.000 -2.131 3.691
Pm Ni Li
1 1 1
Direct
0.667 0.667 0.333
0.167 0.333 0.667
0.167 0.000 0.000
```

Output
ΔH_f (0 K) in meV per atom: -62.6
Magnetization in μB/f.u.: 0.000
ΔE to the lowest computed polymorph in meV/atom: 134

=====

10.
Material: LiPmNi
Method: DFT, PBE-GGA
State: relaxed

The structure in POSCAR format:
```
LiPmNi
1.0
-4.833 -0.620 1.048
2.994 -1.538 1.047
0.720 6.137 6.953
Pm Li Ni
2 2 2
Direct
0.695 0.389 0.675
0.695 0.389 0.325
0.194 0.389 0.884
0.194 0.389 0.116
0.694 0.388 0.000
0.194 0.389 0.500
```

Output
ΔH_f (0 K) in meV per atom: 5.5
Magnetization in μB/f.u.: 0.000
ΔE to the lowest computed polymorph in meV/atom: 202

=====

11.
Material: LiPm2Ni9
Method: DFT, PBE-GGA
State: relaxed

The structure in POSCAR format:
```
LiPm2Ni9
1.0
-3.656 -2.742 -1.949
-2.167 -3.547 2.721
-7.375 3.260 2.914
Ni Pm Li
9 2 1
Direct
0.920 0.420 0.240
0.080 0.580 0.760
0.667 0.667 0.998
0.500 0.500 0.500
0.420 0.420 0.240
0.333 0.333 0.002
0.580 0.080 0.760
0.420 0.920 0.240
0.580 0.580 0.760
0.866 0.866 0.402
0.134 0.134 0.598
0.000 0.000 0.000
```

Output
ΔH_f (0 K) in meV per atom: -170.6
Magnetization in μB/f.u.: 2.307

=====

12.
Material: LiPm6Ni
Method: DFT, PBE-GGA
State: relaxed

The structure in POSCAR format:
```
LiPm6Ni
1.0
-0.858 -6.363 2.162
2.483 -1.899 6.011
-4.971 -1.054 5.540
Pm Ni Li
6 1 1
Direct
0.786 0.045 0.746
0.955 0.577 0.254
0.045 0.423 0.746
0.577 0.214 0.254
0.423 0.786 0.746
0.214 0.955 0.254
0.000 0.000 0.000
0.500 0.500 0.500
```

Output
ΔH_f (0 K) in meV per atom: 157.5
Magnetization in μB/f.u.: 0.000

=====

13.
Material: Li2PmNi
Method: DFT, PBE-GGA
State: relaxed

The structure in POSCAR format:
```
Li2PmNi
1.0
3.009 0.000 0.000
1.504 2.606 0.000
1.504 0.869 10.173
Li Pm Ni
2 1 1
Direct
0.104 0.104 0.687
0.896 0.896 0.313
0.000 0.000 0.000
0.500 0.500 0.500
```

Output
ΔH_f (0 K) in meV per atom: 399.9
Magnetization in μB/f.u.: 0.504

=====

14.
Material: LiPmPrNi
Method: DFT, PBE-GGA
State: relaxed

The structure in POSCAR format:
```
LiPmPrNi
1.0
-1.861 -0.114 4.736
-5.031 -0.173 0.754
-2.162 -4.249 1.783
Li Pr Ni Pm
1 1 1 1
Direct
0.750 0.750 0.750
0.500 0.500 0.500
0.250 0.250 0.250
0.000 0.000 0.000
```

Output
ΔH_f (0 K) in meV per atom: -40.2
Magnetization in μB/f.u.: 0.000

=====

15.
Material: LiPmNiPt
Method: DFT, PBE-GGA
State: relaxed

The structure in POSCAR format:
```
LiPmNiPt
1.0
4.700 0.000 0.000
2.350 4.071 0.000
2.350 1.357 3.838
Pm Ni Pt Li
1 1 1 1
Direct
0.000 0.000 0.000
0.250 0.250 0.250
0.750 0.750 0.750
0.500 0.500 0.500
```

Output
ΔH_f (0 K) in meV per atom: -444.9
Magnetization in μB/f.u.: 0.000

=====

16.
Material: LiPmPuNi
Method: DFT, PBE-GGA
State: relaxed

The structure in POSCAR format:
```
LiPmPuNi
1.0
-1.479 0.919 -4.634
2.133 -2.361 -3.793
-2.529 -3.431 -2.517
Pu Li Pm Ni
1 1 1 1
Direct
0.000 0.000 0.000
0.250 0.250 0.250
0.500 0.500 0.500
0.750 0.750 0.750
```

Output
ΔH_f (0 K) in meV per atom: 90.3
Magnetization in μB/f.u.: 5.676

=====

17.
Material: LiPmNiRh
Method: DFT, PBE-GGA
State: relaxed

The structure in POSCAR format:
```
LiPmNiRh
1.0
4.607 0.000 0.000
2.304 3.990 0.000
2.304 1.330 3.762
Rh Pm Ni Li
1 1 1 1
Direct
0.750 0.750 0.750
0.000 0.000 0.000
0.250 0.250 0.250
0.500 0.500 0.500
```

Output
ΔH_f (0 K) in meV per atom: -223.6
Magnetization in μB/f.u.: 0.000

=====

18.
Material: LiPm2Ni4Sb3
Method: DFT, PBE-GGA
State: relaxed

The structure in POSCAR format:
```
LiPm2Ni4Sb3
1.0
-3.695 -1.683 -1.513
1.792 -3.946 0.014
-3.220 -1.429 9.453
Ni Pm Sb Li
4 2 3 1
Direct
0.500 0.000 0.623
0.000 0.000 0.000
0.500 0.500 0.000
0.000 0.500 0.377
0.000 0.500 0.758
0.500 0.000 0.242
0.000 0.000 0.500
0.500 0.000 0.866
0.000 0.500 0.134
0.500 0.500 0.500
```

Output
Magnetization in μB/f.u.: 0.000
E_form (uncorrected) in eV/atom: -0.625

=====

19.
Material: LiPmScNi
Method: DFT, PBE-GGA
State: relaxed

The structure in POSCAR format:
```
LiPmScNi
1.0
4.843 0.000 0.000
2.422 4.194 0.000
2.422 1.398 3.954
Pm Sc Ni Li
1 1 1 1
Direct
0.750 0.750 0.750
0.250 0.250 0.250
0.000 0.000 0.000
0.500 0.500 0.500
```

Output
ΔH_f (0 K) in meV per atom: -97.6
Magnetization in μB/f.u.: 0.001

=====

20.
Material: LiPm2Si4Ni3
Method: DFT, PBE-GGA
State: relaxed

The structure in POSCAR format:
```
LiPm2Si4Ni3
1.0
4.069 0.000 0.000
0.000 4.069 0.000
0.000 0.000 9.618
Si Ni Pm Li
4 3 2 1
Direct
0.000 0.500 0.363
0.000 0.000 0.000
0.500 0.500 0.000
0.500 0.000 0.637
0.000 0.500 0.119
0.500 0.000 0.881
0.000 0.000 0.500
0.000 0.500 0.752
0.500 0.000 0.248
0.500 0.500 0.500
```

Output
Magnetization in μB/f.u.: 0.000
E_form (uncorrected) in eV/atom: -0.716

=====

21.
Material: LiPmSi2Ni
Method: DFT, PBE-GGA
State: relaxed

The structure in POSCAR format:
```
LiPmSi2Ni
1.0
4.066 0.000 0.000
0.000 4.066 0.000
-2.033 -2.033 4.948
Li Si Ni Pm
1 2 1 1
Direct
0.250 0.750 0.500
0.379 0.379 0.757
0.621 0.621 0.243
0.750 0.250 0.500
0.000 0.000 0.000
```

Output
Magnetization in μB/f.u.: 0.000
E_form (uncorrected) in eV/atom: -0.635

=====

22.
Material: LiPmNiSn2
Method: DFT, PBE-GGA
State: relaxed

The structure in POSCAR format:
```
LiPmNiSn2
1.0
-2.687 5.325 -1.161
-2.294 -0.014 5.246
4.949 2.972 2.172
Sn Pm Ni Li
4 2 2 2
Direct
0.752 0.250 0.253
0.248 0.750 0.253
0.752 0.250 0.747
0.248 0.750 0.747
0.244 0.250 0.500
0.756 0.750 0.500
0.000 0.500 0.000
0.000 0.000 0.000
0.357 0.250 0.000
0.643 0.750 0.000
```

Output
ΔH_f (0 K) in meV per atom: -421.7
Magnetization in μB/f.u.: 0.000

=====

23.
Material: LiPmNiSn
Method: DFT, PBE-GGA
State: relaxed

The structure in POSCAR format:
```
LiPmNiSn
1.0
4.718 0.000 0.000
2.359 4.086 0.000
2.359 1.362 3.852
Li Sn Pm Ni
1 1 1 1
Direct
0.500 0.500 0.500
0.250 0.250 0.250
0.750 0.750 0.750
0.000 0.000 0.000
```

Output
ΔH_f (0 K) in meV per atom: -558.1
Magnetization in μB/f.u.: 0.000

=====

24.
Material: LiPmThNi
Method: DFT, PBE-GGA
State: relaxed

The structure in POSCAR format:
```
LiPmThNi
1.0
-4.768 -0.536 1.568
-1.327 -4.051 2.703
-1.116 0.490 4.898
Th Ni Li Pm
1 1 1 1
Direct
0.250 0.250 0.250
0.500 0.500 0.500
0.000 0.000 0.000
0.750 0.750 0.750
```

Output
ΔH_f (0 K) in meV per atom: 27.0
Magnetization in μB/f.u.: 0.290

=====

25.
Material: LiPmTlNi
Method: DFT, PBE-GGA
State: relaxed

The structure in POSCAR format:
```
LiPmTlNi
1.0
-0.872 -1.354 -4.512
-1.647 -4.407 -0.903
-4.512 -0.612 -1.488
Tl Li Pm Ni
1 1 1 1
Direct
0.500 0.500 0.500
0.750 0.750 0.750
0.000 0.000 0.000
0.250 0.250 0.250
```

Output
ΔH_f (0 K) in meV per atom: -220.2
Magnetization in μB/f.u.: 0.021